## Mg2TlB (PBE)

Data for a geometry-optimized Mg2TlB structure.

It has space group I-42d (No. 122), with a = 6.008 Å, b = 6.008 Å, c = 12.566 Å, α = 90.00°, β = 90.00° and γ = 90.00°. The inequivalent atoms are Mg at (0.040, 0.250, 0.125), Tl at (0.000, 0.000, 0.500) and B at (0.000, 0.000, 0.000).

The total energy comes out at -37.6 eV for the cell shown. As for the total moment: 0.0 μB/f.u.

## Mg3TlB (PBE)

Data for a geometry-optimized Mg3TlB structure.

It has space group Pm-3m (No. 221), with a = 5.273 Å, b = 5.273 Å, c = 5.273 Å, α = 90.00°, β = 90.00° and γ = 90.00°. The inequivalent atoms are Mg at (0.000, 0.000, 0.500), Tl at (0.000, 0.000, 0.000) and B at (0.500, 0.500, 0.500).

The total energy comes out at -7.7 eV for the cell shown. As for the total moment: 0.0 μB/f.u.

## MgTlB (PBE)

Data for a geometry-optimized MgTlB structure.

It has space group Pnma (No. 62), with a = 8.858 Å, b = 3.179 Å, c = 9.035 Å, α = 90.00°, β = 90.00° and γ = 90.00°. The inequivalent atoms are Mg at (0.245, 0.250, 0.078), Tl at (0.027, 0.750, 0.310) and B at (0.000, 0.000, 0.000).

The total energy comes out at -39.4 eV for the cell shown. As for the total moment: 0.0 μB/f.u.

## MgTlB2 (PBE)

Data for a geometry-optimized MgTlB2 structure.

It has space group I-42d (No. 122), with a = 6.413 Å, b = 6.413 Å, c = 6.661 Å, α = 90.00°, β = 90.00° and γ = 90.00°. The inequivalent atoms are Mg at (0.000, 0.000, 0.000), Tl at (0.000, 0.000, 0.500) and B at (0.247, 0.250, 0.625).

The total energy comes out at -46.5 eV for the cell shown. As for the total moment: 0.0 μB/f.u.